[1]
The following is a PBE-GGA calculation of an optimized crystal structure of CdAsSeBr2, from the Alexandria database.

```
CdAsSeBr2
1.0
5.3092 0.0000 0.0000
0.0000 5.3092 0.0000
0.0000 0.0000 5.5821
As Se Br Cd
1 1 2 1
direct
0.5000 0.5000 0.5000 As
0.0000 0.0000 0.5000 Se
0.0000 0.5000 0.0000 Br
0.5000 0.0000 0.0000 Br
0.0000 0.0000 0.0000 Cd
```

Summary:
ΔE_f (raw) = 361 meV/atom
density of states at the Fermi level = 2.89 states/eV per cell
energy above the most stable polymorph in this dataset = 1.67 eV/f.u.
V = 157 Å³ per cell
SG = P4/mmm (123)
final energy = -2.12 eV per atom

[2]
The following is a PBE-GGA calculation of an optimized crystal structure of BaTl2Ir2, from the Alexandria database.

```
BaTl2Ir2
1.0
-3.7814 2.8507 -0.2787
-2.1604 -3.1418 -2.8223
-5.1982 -2.6596 2.9531
Tl Ir Ba
2 2 1
direct
0.7500 0.2500 0.5000 Tl
0.2500 0.7500 0.5000 Tl
0.3918 0.3918 0.2164 Ir
0.6082 0.6082 0.7836 Ir
0.0000 0.0000 0.0000 Ba
```

Summary:
density of states at the Fermi level = 3.19 states/eV per cell
energy above the most stable polymorph in this dataset = 0.00 eV/f.u.
V = 126 Å³ per cell
SG = I4/mmm (139)
final energy = -4.88 eV per atom